Record 1
A geometry-optimized Y6IrPd2 structure, computed with PBE-GGA.

```
Y6IrPd2
1.0
6.586 0.000 0.212
0.000 7.367 0.000
-0.502 0.000 10.082
Y Ir Pd
12 2 4
Cartesian
5.452 7.069 2.674
5.158 4.973 5.908
5.074 5.026 9.572
4.051 1.343 5.870
3.967 1.290 9.534
4.176 3.385 2.686
0.632 0.298 7.621
0.925 2.394 4.387
1.009 2.340 0.723
2.033 6.024 4.425
2.116 6.077 0.761
1.908 3.981 7.609
3.293 3.683 0.106
-0.251 0.000 5.041
5.819 2.831 7.822
3.306 6.514 7.621
2.777 0.852 2.674
0.265 4.535 2.473
```

energy relative to the elements: -598.4 meV per atom

Record 2
A geometry-optimized Y4Ir3Pd structure, computed with PBE-GGA.

```
Y4Ir3Pd
1.0
-2.087 -1.187 4.190
4.959 -4.928 1.074
5.476 6.506 4.571
Y Ir Pd
8 6 2
Cartesian
2.693 -4.307 2.904
5.431 -1.054 5.189
0.179 -1.808 2.360
2.917 1.445 4.645
7.843 1.166 4.237
3.019 -3.274 6.141
0.504 -0.775 5.597
5.329 3.665 3.693
0.000 0.000 0.000
2.738 3.253 2.285
3.063 4.286 5.523
0.326 1.033 3.237
5.543 1.822 6.060
2.805 -1.431 3.774
2.479 -2.464 0.537
5.217 0.789 2.822
```

energy relative to the elements: -829.5 meV per atom

Record 3
A geometry-optimized YIrPd2 structure, computed with PBE-GGA.

```
YIrPd2
1.0
4.011 0.000 0.000
0.000 4.011 0.000
2.006 2.006 9.533
Y Ir Pd
2 2 4
Cartesian
2.006 2.006 0.000
2.006 4.011 4.766
0.000 0.000 0.000
4.011 2.006 4.766
3.110 1.003 2.383
0.902 3.009 2.383
3.009 2.907 7.150
5.014 5.116 7.150
```

excess energy over the best structure of this formula in the dataset: 330 meV per atom
energy relative to the elements: -249.3 meV per atom

Record 4
A geometry-optimized Y5Ir4Pd structure, computed with PBE-GGA.

```
Y5Ir4Pd
1.0
3.409 0.000 0.000
0.000 3.409 0.000
0.000 0.000 17.716
Y Ir Pd
5 4 1
Cartesian
1.704 1.704 1.862
1.704 1.704 5.350
1.704 1.704 8.858
1.704 1.704 12.366
1.704 1.704 15.854
0.000 0.000 3.564
0.000 0.000 7.101
0.000 0.000 10.615
0.000 0.000 14.152
0.000 0.000 0.000
```

energy relative to the elements: -806.1 meV per atom

Record 5
A geometry-optimized Zn2Ir2Pd structure, computed with PBE-GGA.

```
Zn2Ir2Pd
1.0
7.228 0.000 0.000
0.000 7.228 0.000
0.000 0.000 2.836
Zn Ir Pd
4 4 2
Cartesian
2.702 6.316 0.000
6.316 4.526 0.000
4.526 0.912 0.000
0.912 2.702 0.000
1.246 4.860 1.418
4.860 5.982 1.418
5.982 2.368 1.418
2.368 1.246 1.418
0.000 0.000 0.000
3.614 3.614 0.000
```

excess energy over the best structure of this formula in the dataset: 36 meV per atom
energy relative to the elements: 87.3 meV per atom

Record 6
A geometry-optimized Zn2IrPd structure, computed with PBE-GGA.

```
Zn2IrPd
1.0
-2.286 -1.556 -0.613
-0.410 -0.938 -2.641
3.366 -7.792 0.740
Zn Ir Pd
2 1 1
Cartesian
2.299 -6.050 0.283
0.169 -2.574 -0.628
0.335 -5.142 -1.257
-1.797 -1.663 -2.169
```

energy relative to the elements: -277.9 meV per atom

> Which value of energy relative to the elements does entry 3 give?

-249.3 meV per atom

Please write out number 2 again, unchanged.
A geometry-optimized Y4Ir3Pd structure, computed with PBE-GGA.

```
Y4Ir3Pd
1.0
-2.087 -1.187 4.190
4.959 -4.928 1.074
5.476 6.506 4.571
Y Ir Pd
8 6 2
Cartesian
2.693 -4.307 2.904
5.431 -1.054 5.189
0.179 -1.808 2.360
2.917 1.445 4.645
7.843 1.166 4.237
3.019 -3.274 6.141
0.504 -0.775 5.597
5.329 3.665 3.693
0.000 0.000 0.000
2.738 3.253 2.285
3.063 4.286 5.523
0.326 1.033 3.237
5.543 1.822 6.060
2.805 -1.431 3.774
2.479 -2.464 0.537
5.217 0.789 2.822
```

energy relative to the elements: -829.5 meV per atom